Density functional theory data (PBE) for a relaxed structure of Ba2SiRu.

- ΔE_f (raw): 0.716 eV/atom
- DOS at the Fermi energy: 5.491 states/eV/f.u.
- DFT total energy: -3.9199 eV per atom

Lattice parameters (Å, degrees): 3.9539 3.9539 28.0728 90.00 90.00 120.00
With the nearest neighbours (Å) after each atom.
Space group R-3m (No. 166, hexagonal axes)
One atom of each set of equivalent atoms:
Ba: 0.0000 0.0000 0.2446 (multiplicity 6)  3 Ru 3.16, 3 Si 3.38
Si: 0.0000 0.0000 0.0000 (multiplicity 3)  6 Ba 3.38
Ru: 0.0000 0.0000 0.5000 (multiplicity 3)  6 Ba 3.16